(1)
A plane-wave DFT calculation with GGA-PBEsol was carried out for a relaxed structure of Si3RhO.

Cell: 3.975 3.975 3.975 Å, 90.00 90.00 90.00°
Sites, in units of the cell vectors:
Si 0.000 0.000 0.500
Si 0.500 0.000 0.000
O 0.000 0.000 0.000
Si 0.000 0.500 0.000
Rh 0.500 0.500 0.500

Output
crystal system: cubic
energy relative to the elements, uncorrected: -1.3 kcal/mol of atoms

(2)
A plane-wave DFT calculation with GGA-PBEsol was carried out for a relaxed structure of Ge3BiMo.

Cell: 4.893 4.893 4.893 Å, 90.00 90.00 90.00°
Sites, in units of the cell vectors:
Ge 0.500 0.000 0.000
Mo 0.000 0.000 0.000
Ge 0.000 0.000 0.500
Bi 0.500 0.500 0.500
Ge 0.000 0.500 0.000

Output
energy: -28.500 eV/f.u.
crystal system: cubic

(3)
A plane-wave DFT calculation with GGA-PBEsol was carried out for a relaxed structure of YHg2Br.

Cell: 3.678 5.088 5.430 Å, 90.00 90.02 90.00°
Sites, in units of the cell vectors:
Y 0.375 0.000 0.507
Hg 0.875 0.000 0.987
Br 0.375 0.500 0.737
Hg 0.875 0.500 0.269

Output
crystal system: orthorhombic
energy relative to the elements, uncorrected: -13.6 kcal/mol of atoms

(4)
A plane-wave DFT calculation with GGA-PBEsol was carried out for a relaxed structure of CeAl20Cr2.

Cell: 10.134 10.134 10.134 Å, 60.00 60.00 60.00°
Site moments in Bohr magnetons follow the coordinates.
Sites, in units of the cell vectors:
Al 0.451 0.182 0.451  0.00
Al 0.916 0.451 0.451  0.00
Al 0.364 0.364 0.636  -0.01
Al 0.916 0.451 0.182  0.00
Al 0.799 0.068 0.334  0.00
Al 0.799 0.334 0.068  0.00
Al 0.916 0.182 0.451  0.00
Al 0.364 0.636 0.364  -0.01
Al 0.614 0.614 0.886  -0.01
Cr 0.125 0.625 0.625  0.68
Al 0.125 0.125 0.625  0.00
Al 0.182 0.451 0.451  0.00
Al 0.614 0.886 0.886  -0.01
Al 0.451 0.916 0.182  0.00
Al 0.125 0.625 0.125  0.00
Al 0.886 0.886 0.614  -0.01
Al 0.334 0.799 0.068  0.00
Al 0.799 0.799 0.334  0.00
Al 0.625 0.125 0.125  0.00
Al 0.799 0.799 0.068  0.00
Cr 0.625 0.625 0.125  0.68
Al 0.636 0.364 0.364  -0.01
Al 0.182 0.451 0.916  0.00
Al 0.334 0.799 0.799  0.00
Cr 0.625 0.625 0.625  0.68
Al 0.451 0.182 0.916  0.00
Al 0.451 0.451 0.182  0.00
Al 0.068 0.334 0.799  0.00
Ce 0.250 0.250 0.250  -0.03
Ce 0.000 0.000 0.000  -0.03
Al 0.125 0.125 0.125  0.00
Al 0.364 0.636 0.636  -0.01
Al 0.636 0.364 0.636  -0.01
Al 0.636 0.636 0.364  -0.01
Al 0.799 0.334 0.799  0.00
Al 0.886 0.614 0.614  -0.01
Al 0.068 0.799 0.799  0.00
Al 0.799 0.068 0.799  0.00
Al 0.451 0.916 0.451  0.00
Al 0.451 0.451 0.916  0.00
Cr 0.625 0.125 0.625  0.68
Al 0.614 0.886 0.614  -0.01
Al 0.182 0.916 0.451  0.00
Al 0.068 0.799 0.334  0.00
Al 0.886 0.614 0.886  -0.01
Al 0.334 0.068 0.799  0.00

Output
energy: -112.692 eV/f.u.
crystal system: cubic

(5)
A plane-wave DFT calculation with GGA-PBEsol was carried out for a relaxed structure of CdAsOs.

Cell: 3.026 3.026 6.625 Å, 90.00 90.00 120.00°
Sites, in units of the cell vectors:
As 0.000 0.000 0.049
Os 0.667 0.333 0.305
Cd 0.333 0.667 0.646

Output
energy: -17.906 eV/f.u.
crystal system: trigonal

(6)
A plane-wave DFT calculation with GGA-PBEsol was carried out for a relaxed structure of K2BaFe.

Cell: 3.965 3.965 11.459 Å, 90.00 90.00 90.07°
Site moments in Bohr magnetons follow the coordinates.
Sites, in units of the cell vectors:
Ba 0.000 0.000 0.418  -0.18
Fe 0.500 0.500 0.269  2.90
K 0.000 0.000 0.075  -0.01
K 0.500 0.500 0.738  0.00

Output
energy: -10.641 eV/f.u.
crystal system: tetragonal